Record 1
Material: Sc12Tl3Pd
Method: DFT, GGA-PBE
State: optimized geometry

Final energy (eV per atom): -5.7496
Total magnetic moment (Bohr magnetons per cell): 4.56
V (A^3/atom): 22.56

CIF file:
```
data_Sc12Tl3Pd
_symmetry_space_group_name_H-M 'P 1'
_symmetry_Int_Tables_number 1
_cell_length_a 4.5293
_cell_length_b 4.5293
_cell_length_c 17.5938
_cell_angle_alpha 90.00
_cell_angle_beta 90.00
_cell_angle_gamma 90.00
loop_
_symmetry_equiv_pos_as_xyz
'x,y,z'
loop_
_atom_site_label
_atom_site_fract_x
_atom_site_fract_y
_atom_site_fract_z
Sc1 0.0000 0.0000 0.0000
Sc2 0.0000 0.0000 0.2416
Sc3 0.0000 0.0000 0.5000
Sc4 0.0000 0.0000 0.7584
Sc5 0.0000 0.5000 0.1116
Sc6 0.0000 0.5000 0.3713
Sc7 0.0000 0.5000 0.6287
Sc8 0.0000 0.5000 0.8884
Sc9 0.5000 0.0000 0.1116
Sc10 0.5000 0.0000 0.3713
Sc11 0.5000 0.0000 0.6287
Sc12 0.5000 0.0000 0.8884
Tl1 0.5000 0.5000 0.2430
Tl2 0.5000 0.5000 0.5000
Tl3 0.5000 0.5000 0.7570
Pd1 0.5000 0.5000 0.0000
```

***

Record 2
Material: ZnCoIr2
Method: DFT, GGA-PBE
State: optimized geometry

Final energy (eV per atom): -6.3415
Total magnetic moment (Bohr magnetons per cell): 1.92
V (A^3/atom): 13.97

CIF file:
```
data_ZnCoIr2
_symmetry_space_group_name_H-M 'P 1'
_symmetry_Int_Tables_number 1
_cell_length_a 2.6934
_cell_length_b 2.6934
_cell_length_c 8.8312
_cell_angle_alpha 90.00
_cell_angle_beta 90.00
_cell_angle_gamma 119.28
loop_
_symmetry_equiv_pos_as_xyz
'x,y,z'
loop_
_atom_site_label
_atom_site_fract_x
_atom_site_fract_y
_atom_site_fract_z
Zn1 0.0000 0.0000 0.0000
Co1 0.5000 0.5000 0.7610
Ir1 0.0000 0.0000 0.5210
Ir2 0.5000 0.5000 0.2536
```

***

Record 3
Material: VAgSb3
Method: DFT, GGA-PBE
State: optimized geometry

Final energy (eV per atom): -4.4707
Total magnetic moment (Bohr magnetons per cell): 0.00
V (A^3/atom): 26.73

CIF file:
```
data_VAgSb3
_symmetry_space_group_name_H-M 'P 1'
_symmetry_Int_Tables_number 1
_cell_length_a 5.1130
_cell_length_b 5.1130
_cell_length_c 5.1130
_cell_angle_alpha 90.00
_cell_angle_beta 90.00
_cell_angle_gamma 90.00
loop_
_symmetry_equiv_pos_as_xyz
'x,y,z'
loop_
_atom_site_label
_atom_site_fract_x
_atom_site_fract_y
_atom_site_fract_z
V1 0.0000 0.0000 0.0000
Ag1 0.5000 0.5000 0.5000
Sb1 0.0000 0.0000 0.5000
Sb2 0.0000 0.5000 0.0000
Sb3 0.5000 0.0000 0.0000
```

***

Record 4
Material: RbTi2Br
Method: DFT, GGA-PBE
State: optimized geometry

Final energy (eV per atom): -4.0275
Total magnetic moment (Bohr magnetons per cell): 1.15
V (A^3/atom): 29.15

CIF file:
```
data_RbTi2Br
_symmetry_space_group_name_H-M 'P 1'
_symmetry_Int_Tables_number 1
_cell_length_a 10.9003
_cell_length_b 10.9003
_cell_length_c 10.9003
_cell_angle_alpha 154.87
_cell_angle_beta 154.87
_cell_angle_gamma 35.83
loop_
_symmetry_equiv_pos_as_xyz
'x,y,z'
loop_
_atom_site_label
_atom_site_fract_x
_atom_site_fract_y
_atom_site_fract_z
Rb1 0.3750 0.6250 0.7500
Rb2 0.6250 0.3750 0.2500
Ti1 0.0000 0.0000 0.0000
Ti2 0.0000 0.0000 0.5000
Ti3 0.0000 0.5000 0.0000
Ti4 0.5000 0.0000 0.5000
Br1 0.1250 0.8750 0.2500
Br2 0.8750 0.1250 0.7500
```

***

Record 5
Material: Ba4Sr10Mg
Method: DFT, GGA-PBE
State: optimized geometry

Final energy (eV per atom): -1.5651
Total magnetic moment (Bohr magnetons per cell): 0.00
V (A^3/atom): 59.49

CIF file:
```
data_Ba4Sr10Mg
_symmetry_space_group_name_H-M 'P 1'
_symmetry_Int_Tables_number 1
_cell_length_a 10.5167
_cell_length_b 10.5167
_cell_length_c 10.5167
_cell_angle_alpha 111.46
_cell_angle_beta 111.46
_cell_angle_gamma 105.57
loop_
_symmetry_equiv_pos_as_xyz
'x,y,z'
loop_
_atom_site_label
_atom_site_fract_x
_atom_site_fract_y
_atom_site_fract_z
Ba1 0.0375 0.2717 0.3092
Ba2 0.2717 0.9625 0.2341
Ba3 0.7283 0.0375 0.7659
Ba4 0.9625 0.7283 0.6908
Sr1 0.1351 0.4611 0.9215
Sr2 0.2136 0.1351 0.6740
Sr3 0.2500 0.7500 0.5000
Sr4 0.4604 0.7864 0.9215
Sr5 0.4611 0.5396 0.3260
Sr6 0.5389 0.4604 0.6740
Sr7 0.5396 0.2136 0.0785
Sr8 0.7500 0.2500 0.5000
Sr9 0.7864 0.8649 0.3260
Sr10 0.8649 0.5389 0.0785
Mg1 0.5000 0.5000 0.0000
```